[1]
# NaCe2Tl9

A relaxed NaCe2Tl9 crystal (PBE, Alexandria).

- magnetization (μB per atom) = 0.1634
- space group = P4/mmm
- D(E_F) (states/eV/f.u.) = 15.99
- energy of formation from the pure elements (eV per atom) = -0.16
- E (eV/cell) = -36.41

Lattice parameters (Å, degrees): 4.839 4.839 14.546 90.00 90.00 90.00
Element x y z (fractional)
Na  0.000  0.000  0.000
Ce  0.000  0.000  0.335
Ce  0.000  0.000  0.665
Tl  0.000  0.500  0.166
Tl  0.000  0.500  0.500
Tl  0.000  0.500  0.834
Tl  0.500  0.000  0.166
Tl  0.500  0.000  0.500
Tl  0.500  0.000  0.834
Tl  0.500  0.500  0.000
Tl  0.500  0.500  0.335
Tl  0.500  0.500  0.665

---

[2]
# Li2ZrCu

A relaxed Li2ZrCu crystal (PBE, Alexandria).

- magnetization (μB per atom) = 0.0000
- space group = Cmmm
- D(E_F) (states/eV/f.u.) = 2.66
- energy of formation from the pure elements (eV per atom) = 0.32
- E (eV/cell) = -15.21

Lattice parameters (Å, degrees): 5.594 5.594 2.668 90.00 90.00 121.64
Element x y z (fractional)
Li  0.000  0.500  0.000
Li  0.500  0.000  0.000
Zr  0.000  0.000  0.500
Cu  0.500  0.500  0.500

---

[3]
# LaBC2

A relaxed LaBC2 crystal (PBE, Alexandria).

- magnetization (μB per atom) = 0.0000
- space group = Pmma
- D(E_F) (states/eV/f.u.) = 0.91
- energy of formation from the pure elements (eV per atom) = -0.05
- E (eV/cell) = -60.48

Lattice parameters (Å, degrees): 7.386 3.845 4.237 90.00 90.00 90.00
Element x y z (fractional)
La  0.250  0.000  0.238
La  0.750  0.000  0.762
B  0.250  0.500  0.745
B  0.750  0.500  0.255
C  0.073  0.500  0.911
C  0.427  0.500  0.911
C  0.573  0.500  0.089
C  0.927  0.500  0.089